Record 1
# Nd2AlGa | Alexandria | PBE | optimized geometry
# Total moment (Bohr magnetons per cell): 0.00
# Raw total energy (eV/cell): -36.4
# DFT formation energy (meV/atom): -473
data_Nd2AlGa
_cell_length_a 4.2113
_cell_length_b 4.5023
_cell_length_c 11.4355
_cell_angle_alpha 90.00
_cell_angle_beta 90.00
_cell_angle_gamma 90.00
_symmetry_space_group_name_H-M 'A m m 2'
_symmetry_Int_Tables_number 38
_symmetry_space_group_name_Hall 'A 2 -2'
loop_
_atom_site_label
_atom_site_type_symbol
_atom_site_fract_x
_atom_site_fract_y
_atom_site_fract_z
Nd1 Nd 0.0000 0.0000 0.0000
Nd2 Nd 0.5000 0.0000 0.2845
Al1 Al 0.5000 0.0000 0.5769
Ga1 Ga 0.0000 0.0000 0.7142

***

Record 2
# NdAlGa4 | Alexandria | PBE | optimized geometry
# Total moment (Bohr magnetons per cell): 0.00
# Raw total energy (eV/cell): -45.2
# DFT formation energy (meV/atom): -329
data_NdAlGa4
_cell_length_a 4.1283
_cell_length_b 6.6535
_cell_length_c 8.8117
_cell_angle_alpha 90.00
_cell_angle_beta 90.00
_cell_angle_gamma 90.00
_symmetry_space_group_name_H-M 'I m m m'
_symmetry_Int_Tables_number 71
_symmetry_space_group_name_Hall '-I 2 2'
loop_
_atom_site_label
_atom_site_type_symbol
_atom_site_fract_x
_atom_site_fract_y
_atom_site_fract_z
Nd1 Nd 0.0000 0.0000 0.0000
Al1 Al 0.0000 0.5000 0.0000
Ga1 Ga 0.0000 0.2048 0.3394

***

Record 3
# Nd2AlGa | Alexandria | PBE | optimized geometry
# Total moment (Bohr magnetons per cell): 0.00
# Raw total energy (eV/cell): -51.7
# DFT formation energy (meV/atom): -234
data_Nd2AlGa
_cell_length_a 3.7937
_cell_length_b 3.7937
_cell_length_c 27.2422
_cell_angle_alpha 90.00
_cell_angle_beta 90.00
_cell_angle_gamma 120.00
_symmetry_space_group_name_H-M 'R -3 m'
_symmetry_Int_Tables_number 166
_symmetry_space_group_name_Hall '-R 3 2"'
loop_
_atom_site_label
_atom_site_type_symbol
_atom_site_fract_x
_atom_site_fract_y
_atom_site_fract_z
Nd1 Nd 0.0000 0.0000 0.2487
Al1 Al 0.0000 0.0000 0.0000
Ga1 Ga 0.0000 0.0000 0.5000

***

Record 4
# Nd3Al3Ga2 | Alexandria | PBE | optimized geometry
# Total moment (Bohr magnetons per cell): 0.00
# Raw total energy (eV/cell): -142.9
# DFT formation energy (meV/atom): -519
data_Nd3Al3Ga2
_cell_length_a 4.2758
_cell_length_b 11.4633
_cell_length_c 16.0288
_cell_angle_alpha 90.00
_cell_angle_beta 90.00
_cell_angle_gamma 90.00
_symmetry_space_group_name_H-M 'C m c m'
_symmetry_Int_Tables_number 63
_symmetry_space_group_name_Hall '-C 2c 2'
loop_
_atom_site_label
_atom_site_type_symbol
_atom_site_fract_x
_atom_site_fract_y
_atom_site_fract_z
Nd1 Nd 0.0000 0.0672 0.2500
Nd2 Nd 0.0000 0.3587 0.0939
Al1 Al 0.0000 0.0786 0.0549
Al2 Al 0.0000 0.2086 0.7500
Ga1 Ga 0.0000 0.3463 0.6184